# 1
Crystalline MnVRh2 at its relaxed geometry, computed with PBE-GGA.

Cell lengths 4.2961, 4.2961, 4.2961 Å; angles 60.00, 60.00, 60.00 degrees
With the nearest neighbours (Å) after each atom.
Fractional positions:
Mn 0.0000 0.0000 0.0000  8 Rh 2.63
V 0.5000 0.5000 0.5000  8 Rh 2.63
Rh 0.2500 0.2500 0.2500  4 V 2.63, 4 Mn 2.63
Rh 0.7500 0.7500 0.7500  4 V 2.63, 4 Mn 2.63

ΔE_f   -0.2448 eV/atom
Crystal system   cubic

***

# 2
Crystalline LiCdSe2 at its relaxed geometry, computed with PBE-GGA.

Cell lengths 6.6105, 6.6105, 6.6105 Å; angles 147.50, 146.52, 47.36 degrees
With the nearest neighbours (Å) after each atom.
Fractional positions:
Li 0.0000 0.0000 0.0000  6 Se 2.75-2.76
Cd 0.7358 0.2358 0.5000  6 Se 2.79-2.92
Se 0.3365 0.8365 0.5000  2 Li 2.75, 4 Cd 2.92
Se 0.5630 0.5630 0.0000  4 Li 2.76, 2 Cd 2.79

Energy relative to the elements, uncorrected   -1.96 eV per formula unit
Crystal system   orthorhombic

***

# 3
Crystalline Er2TeSe at its relaxed geometry, computed with PBE-GGA.

Cell lengths 7.2805, 7.2805, 7.2805 Å; angles 33.31, 33.31, 33.31 degrees
With the nearest neighbours (Å) after each atom.
Fractional positions:
Er 0.2376 0.2376 0.2376  3 Se 2.82, 3 Te 3.11
Er 0.7624 0.7624 0.7624  3 Se 2.82, 3 Te 3.11
Te 0.0000 0.0000 0.0000  6 Er 3.11
Se 0.5000 0.5000 0.5000  6 Er 2.82

Energy relative to the elements, uncorrected   -5.89 eV per formula unit
Offset from the most stable computed form   34 meV/atom
Crystal system   trigonal

***

# 4
Crystalline TcRh2Cl at its relaxed geometry, computed with PBE-GGA.

Cell lengths 2.8324, 2.8324, 7.4422 Å; angles 90.00, 90.00, 90.00 degrees
With the nearest neighbours (Å) after each atom.
Fractional positions:
Tc 0.0000 0.0000 0.0000  4 Cl 2.62, 4 Rh 2.64, 4 Tc 2.83
Rh 0.0000 0.0000 0.5105  8 Rh 2.77-2.83, 4 Cl 2.90
Rh 0.5000 0.5000 0.7682  4 Tc 2.64, 8 Rh 2.77-2.83
Cl 0.5000 0.5000 0.2280  4 Tc 2.62, 4 Cl 2.83, 4 Rh 2.90

Energy relative to the elements, uncorrected   1.42 eV per formula unit
Offset from the most stable computed form   184 meV/atom
Crystal system   tetragonal

***

# 5
Crystalline La9Tb2Sm at its relaxed geometry, computed with PBE-GGA.

Cell lengths 5.2153, 5.2153, 15.6546 Å; angles 90.00, 90.00, 90.00 degrees
With the nearest neighbours (Å) after each atom.
Fractional positions:
La 0.0000 0.0000 0.0000  4 Sm 3.69, 8 La 3.70
La 0.0000 0.0000 0.3339  8 La 3.68, 4 Tb 3.69
La 0.0000 0.0000 0.6661  8 La 3.68, 4 Tb 3.69
La 0.0000 0.5000 0.1676  8 La 3.68-3.70, 2 Tb 3.69, 2 Sm 3.70
La 0.0000 0.5000 0.5000  4 Tb 3.68, 8 La 3.68-3.69
La 0.0000 0.5000 0.8324  8 La 3.68-3.70, 2 Tb 3.69, 2 Sm 3.70
La 0.5000 0.0000 0.1676  8 La 3.68-3.70, 2 Tb 3.69, 2 Sm 3.70
La 0.5000 0.0000 0.5000  4 Tb 3.68, 8 La 3.68-3.69
La 0.5000 0.0000 0.8324  8 La 3.68-3.70, 2 Tb 3.69, 2 Sm 3.70
Tb 0.5000 0.5000 0.3339  12 La 3.68-3.69
Tb 0.5000 0.5000 0.6661  12 La 3.68-3.69
Sm 0.5000 0.5000 0.0000  12 La 3.69-3.70

ΔE_f   0.0073 eV/atom
Crystal system   tetragonal

***

# 6
Crystalline NbIn3Br at its relaxed geometry, computed with PBE-GGA.

Cell lengths 5.5877, 5.5877, 5.5877 Å; angles 90.00, 90.00, 90.00 degrees
With the nearest neighbours (Å) after each atom.
Fractional positions:
Nb 0.0000 0.0000 0.0000  6 In 2.79
In 0.0000 0.0000 0.5000  2 Nb 2.79
In 0.0000 0.5000 0.0000  2 Nb 2.79
In 0.5000 0.0000 0.0000  2 Nb 2.79
Br 0.5000 0.5000 0.5000  12 In 3.95

Energy relative to the elements, uncorrected   2.27 eV per formula unit
Offset from the most stable computed form   0 meV/atom
Crystal system   cubic

***

# 7
Crystalline Hf5ZrRu4 at its relaxed geometry, computed with PBE-GGA.

Cell lengths 3.2424, 3.2424, 17.2259 Å; angles 90.00, 90.00, 90.00 degrees
With the nearest neighbours (Å) after each atom.
Fractional positions:
Hf 0.0000 0.0000 0.0000  8 Ru 2.81
Hf 0.0000 0.0000 0.1890  8 Ru 2.80-2.81
Hf 0.0000 0.0000 0.3770  4 Ru 2.81, 4 Zr 3.12
Hf 0.0000 0.0000 0.6230  4 Ru 2.81, 4 Zr 3.12
Hf 0.0000 0.0000 0.8110  8 Ru 2.80-2.81
Zr 0.5000 0.5000 0.5000  8 Hf 3.12, 4 Zr 3.24
Ru 0.5000 0.5000 0.0942  8 Hf 2.81
Ru 0.5000 0.5000 0.2826  8 Hf 2.80-2.81
Ru 0.5000 0.5000 0.7174  8 Hf 2.80-2.81
Ru 0.5000 0.5000 0.9058  8 Hf 2.81

ΔE_f   -0.6448 eV/atom
Crystal system   tetragonal

***

# 8
Crystalline SrLaBiO2 at its relaxed geometry, computed with PBE-GGA.

Cell lengths 8.4616, 8.4616, 8.4616 Å; angles 151.97, 151.97, 40.06 degrees
With the nearest neighbours (Å) after each atom.
Fractional positions:
Sr 0.0000 0.0000 0.0000  4 O 2.41
La 0.3548 0.3548 0.0000  4 O 2.30
Bi 0.6757 0.6757 0.0000  4 Sr 4.03, 4 La 4.06, 4 Bi 4.10, 4 O 4.39
O 0.4199 0.9199 0.5000  2 La 2.30, 2 Sr 2.41
O 0.9199 0.4199 0.5000  2 La 2.30, 2 Sr 2.41

Energy relative to the elements, uncorrected   -11.51 eV per formula unit
Crystal system   tetragonal